# 1
The following is a DFT calculation (PBE) of an optimized crystal structure of HoThMnRu.

Its density of states at the Fermi level is 0.844 states/eV per atom. The total magnetization comes out at 10.2 μB/cell. The formation enthalpy at 0 K is -2.3 kcal/mol of atoms.

abc: 6.979 6.979 6.979
angles: 90.00 90.00 90.00
Space group F-43m (No. 216)
Asymmetric unit:
Ho 0.000 0.000 0.000 [4 per cell]
Th 0.000 0.000 0.500 [4 per cell]
Mn 0.250 0.250 0.750 [4 per cell]
Ru 0.250 0.250 0.250 [4 per cell]

# 2
The following is a DFT calculation (PBE) of an optimized crystal structure of Y2MnW.

Its density of states at the Fermi level is 0.975 states/eV per atom. The total magnetization comes out at 10.3 μB/cell. The formation enthalpy at 0 K is 16.1 kcal/mol of atoms. As for the energy above the most stable polymorph in this dataset: 473.4 meV per atom.

abc: 3.1974 3.1974 29.7776
angles: 90.00 90.00 120.00
Space group R-3m (No. 166, hexagonal axes)
Asymmetric unit:
Y 0.0000 0.0000 0.2503 [6 per cell]
Mn 0.0000 0.0000 0.0000 [3 per cell]
W 0.0000 0.0000 0.5000 [3 per cell]

# 3
The following is a DFT calculation (PBE) of an optimized crystal structure of Cr2NCl.

Its density of states at the Fermi level is 0.523 states/eV per atom. As for the formation energy without anion corrections: 2.717 eV/f.u. The total magnetization comes out at 16.0 μB/cell. As for the energy above the most stable polymorph in this dataset: 852.9 meV per atom.

abc: 5.576 5.576 5.576
angles: 90.00 90.00 90.00
Space group Fm-3m (No. 225)
Asymmetric unit:
Cr 0.250 0.250 0.250 [8 per cell]
N 0.000 0.000 0.000 [4 per cell]
Cl 0.000 0.000 0.500 [4 per cell]

# 4
The following is a DFT calculation (PBE) of an optimized crystal structure of PuPO5.

Its density of states at the Fermi level is 0.840 states/eV per atom. As for the formation energy without anion corrections: -17.468 eV/f.u. The total magnetization comes out at 12.0 μB/cell.

abc: 7.925 6.917 7.833
angles: 90.00 90.00 90.00
Space group Pnma (No. 62)
Asymmetric unit:
Pu 0.126 0.250 0.249 [4 per cell]
P 0.125 0.750 0.128 [4 per cell]
O 0.038 0.250 0.985 [4 per cell]
O 0.124 0.569 0.242 [8 per cell]
O 0.125 0.750 0.683 [4 per cell]
O 0.215 0.250 0.513 [4 per cell]

# 5
The following is a DFT calculation (PBE) of an optimized crystal structure of NaIn.

Its density of states at the Fermi level is 0.461 states/eV per atom. The total magnetization comes out at 0.0 μB/cell. The formation enthalpy at 0 K is -0.9 kcal/mol of atoms.

abc: 8.109 6.228 9.096
angles: 90.00 90.00 90.00
Space group Pnma (No. 62)
Asymmetric unit:
Na 0.141 0.250 0.011 [4 per cell]
Na 0.186 0.750 0.201 [4 per cell]
In 0.000 0.000 0.500 [4 per cell]
In 0.208 0.750 0.830 [4 per cell]

# 6
The following is a DFT calculation (PBE) of an optimized crystal structure of Te2HS8.

Its total energy is -3.62 eV/atom. Its density of states at the Fermi level is 0.392 states/eV per atom. The total magnetization comes out at 0.0 μB/cell.

abc: 8.830 6.237 10.829
angles: 90.00 99.02 90.00
Space group C2/m (No. 12)
Asymmetric unit:
Te 0.140 0.000 0.081 [4 per cell]
H 0.000 0.500 0.500 [2 per cell]
S 0.095 0.500 0.161 [4 per cell]
S 0.131 0.254 0.295 [8 per cell]
S 0.166 0.500 0.449 [4 per cell]

# 7
The following is a DFT calculation (PBE) of an optimized crystal structure of V3SnH.

Its total energy is -6.81 eV/atom. Its density of states at the Fermi level is 1.014 states/eV per atom. The total magnetization comes out at 0.0 μB/cell.

abc: 4.123 5.405 6.916
angles: 90.00 107.30 90.00
Space group P2_1/m (No. 11)
Asymmetric unit:
V 0.110 0.250 0.219 [2 per cell]
V 0.303 0.524 0.607 [4 per cell]
Sn 0.103 0.750 0.205 [2 per cell]
H 0.407 0.750 0.815 [2 per cell]

# 8
The following is a DFT calculation (PBE) of an optimized crystal structure of Y3Ho5Er4.

Its density of states at the Fermi level is 1.675 states/eV per atom. The total magnetization comes out at 1.1 μB/cell. The formation enthalpy at 0 K is 5.9 kcal/mol of atoms. As for the energy above the most stable polymorph in this dataset: 233.1 meV per atom.

abc: 16.003 5.816 9.248
angles: 90.00 116.85 90.00
Space group C2/m (No. 12)
Asymmetric unit:
Y 0.000 0.000 0.000 [2 per cell]
Y 0.209 0.500 0.230 [4 per cell]
Ho 0.000 0.500 0.000 [2 per cell]
Ho 0.074 0.000 0.699 [4 per cell]
Ho 0.173 0.000 0.387 [4 per cell]
Er 0.081 0.500 0.441 [4 per cell]
Er 0.213 0.500 0.877 [4 per cell]

# 9
The following is a DFT calculation (PBE) of an optimized crystal structure of KRbAu2I8.

Its density of states at the Fermi level is 0.439 states/eV per atom. As for the formation energy without anion corrections: -5.973 eV/f.u. The total magnetization comes out at 0.0 μB/cell.

abc: 8.472 8.472 15.287
angles: 90.00 90.00 90.00
Space group I-4 (No. 82)
Asymmetric unit:
K 0.000 0.000 0.000 [2 per cell]
Rb 0.000 0.500 0.250 [2 per cell]
Au 0.000 0.000 0.500 [2 per cell]
Au 0.000 0.500 0.750 [2 per cell]
I 0.059 0.811 0.764 [8 per cell]
I 0.063 0.311 0.489 [8 per cell]

# 10
The following is a DFT calculation (PBE) of an optimized crystal structure of NaSmErPb.

Its density of states at the Fermi level is 0.976 states/eV per atom. The total magnetization comes out at 0.1 μB/cell. The formation enthalpy at 0 K is -3.2 kcal/mol of atoms.

abc: 7.684 7.684 7.684
angles: 90.00 90.00 90.00
Space group F-43m (No. 216)
Asymmetric unit:
Na 0.000 0.000 0.000 [4 per cell]
Sm 0.250 0.250 0.250 [4 per cell]
Er 0.250 0.250 0.750 [4 per cell]
Pb 0.000 0.000 0.500 [4 per cell]

# 11
The following is a DFT calculation (PBE) of an optimized crystal structure of TlNiOs3.

Its density of states at the Fermi level is 1.129 states/eV per atom. The total magnetization comes out at 3.9 μB/cell. The formation enthalpy at 0 K is 43.8 kcal/mol of atoms. As for the energy above the most stable polymorph in this dataset: 0.0 meV per atom.

abc: 4.510 4.510 4.510
angles: 90.00 90.00 90.00
Space group Pm-3m (No. 221)
Asymmetric unit:
Tl 0.000 0.000 0.000 [1 per cell]
Ni 0.500 0.500 0.500 [1 per cell]
Os 0.000 0.500 0.500 [3 per cell]